DFT (PBE) results for Tm3TlHg5 after structural relaxation.

Results
Calculated formation energy: -3.1 eV/f.u.

Lattice parameters (Å, degrees): 8.917 8.917 6.344 90.00 90.00 120.00
Atoms (fractional coordinates):
Tm  0.000  0.337  0.250
Tm  0.000  0.663  0.750
Tm  0.337  0.000  0.250
Tm  0.337  0.337  0.750
Tm  0.663  0.000  0.750
Tm  0.663  0.663  0.250
Tl  0.000  0.000  0.000
Tl  0.000  0.000  0.500
Hg  0.000  0.334  0.750
Hg  0.000  0.666  0.250
Hg  0.333  0.667  0.000
Hg  0.333  0.667  0.500
Hg  0.334  0.000  0.750
Hg  0.334  0.334  0.250
Hg  0.666  0.000  0.250
Hg  0.666  0.666  0.750
Hg  0.667  0.333  0.000
Hg  0.667  0.333  0.500



DFT (PBE) results for Zr4ZnCu after structural relaxation.

Results
Calculated formation energy: -0.8 eV/f.u.
Offset from the most stable computed form: 0.000 eV per atom

Lattice parameters (Å, degrees): 5.496 5.496 5.496 101.53 101.53 126.89
Atoms (fractional coordinates):
Zr  0.096  0.596  0.192
Zr  0.404  0.904  0.808
Zr  0.596  0.404  0.500
Zr  0.904  0.096  0.500
Zn  0.500  0.500  0.000
Cu  0.000  0.000  0.000



DFT (PBE) results for CsYMnTe4 after structural relaxation.

Results
Formation energy from raw total energies: -74 kJ/mol of atoms

Lattice parameters (Å, degrees): 6.977 7.261 10.620 90.00 107.99 90.00
Atoms (fractional coordinates):
Cs  0.184  0.250  0.445
Cs  0.816  0.750  0.555
Y  0.316  0.750  0.045
Y  0.684  0.250  0.955
Mn  0.110  0.250  0.835
Mn  0.890  0.750  0.165
Te  0.157  0.250  0.079
Te  0.243  0.750  0.324
Te  0.332  0.510  0.796
Te  0.332  0.990  0.796
Te  0.668  0.010  0.204
Te  0.668  0.490  0.204
Te  0.757  0.250  0.676
Te  0.843  0.750  0.921



DFT (PBE) results for La2YFeSb after structural relaxation.

Results
Formation energy from raw total energies: -42 kJ/mol of atoms

Lattice parameters (Å, degrees): 5.057 5.057 5.446 90.00 90.00 90.00
Atoms (fractional coordinates):
La  0.000  0.500  0.000
La  0.500  0.000  0.000
Y  0.000  0.000  0.500
Fe  0.000  0.000  0.000
Sb  0.500  0.500  0.500



DFT (PBE) results for Sc2ZnFe after structural relaxation.

Results
Calculated formation energy: 0.1 eV/f.u.

Lattice parameters (Å, degrees): 4.556 4.556 4.556 60.00 60.00 60.00
Atoms (fractional coordinates):
Sc  0.000  0.000  0.000
Sc  0.250  0.250  0.250
Zn  0.500  0.500  0.500
Fe  0.750  0.750  0.750



DFT (PBE) results for NaPbN2 after structural relaxation.

Results
Formation energy from raw total energies: 128 kJ/mol of atoms

Lattice parameters (Å, degrees): 6.933 6.933 6.933 32.70 32.70 32.70
Atoms (fractional coordinates):
Na  0.000  0.000  0.000
Pb  0.500  0.500  0.500
N  0.399  0.399  0.399
N  0.601  0.601  0.601



DFT (PBE) results for TaAg3 after structural relaxation.

Results
Calculated formation energy: 2.6 eV/f.u.

Lattice parameters (Å, degrees): 4.183 4.183 4.183 90.00 90.00 90.00
Atoms (fractional coordinates):
Ta  0.000  0.000  0.000
Ag  0.000  0.500  0.500
Ag  0.500  0.000  0.500
Ag  0.500  0.500  0.000



DFT (PBE) results for Ti3NiTe after structural relaxation.

Results
Formation energy from raw total energies: 103 kJ/mol of atoms
Offset from the most stable computed form: 1.030 eV per atom

Lattice parameters (Å, degrees): 4.920 4.920 4.920 90.00 90.00 90.00
Atoms (fractional coordinates):
Ti  0.000  0.000  0.500
Ti  0.000  0.500  0.000
Ti  0.500  0.000  0.000
Ni  0.500  0.500  0.500
Te  0.000  0.000  0.000



DFT (PBE) results for Rb2BaAg after structural relaxation.

Results
Calculated formation energy: 0.6 eV/f.u.
Offset from the most stable computed form: 0.000 eV per atom

Lattice parameters (Å, degrees): 9.113 9.113 9.113 98.51 98.51 134.75
Atoms (fractional coordinates):
Rb  0.026  0.625  0.901
Rb  0.375  0.276  0.401
Rb  0.724  0.125  0.099
Rb  0.875  0.974  0.599
Ba  0.250  0.750  0.500
Ba  0.500  0.500  0.000
Ag  0.000  0.000  0.000
Ag  0.750  0.250  0.500



DFT (PBE) results for Nb2CuNi after structural relaxation.

Results
Calculated formation energy: -0.1 eV/f.u.

Lattice parameters (Å, degrees): 3.896 3.896 3.899 90.00 90.00 90.00
Atoms (fractional coordinates):
Nb  0.000  0.500  0.000
Nb  0.500  0.000  0.000
Cu  0.000  0.000  0.500
Ni  0.500  0.500  0.500



DFT (PBE) results for SrMgIr after structural relaxation.

Results
Calculated formation energy: 0.0 eV/f.u.

Lattice parameters (Å, degrees): 4.815 4.815 4.815 60.00 60.00 60.00
Atoms (fractional coordinates):
Sr  0.000  0.000  0.000
Mg  0.500  0.500  0.500
Ir  0.750  0.750  0.750



DFT (PBE) results for CdBi2B2 after structural relaxation.

Results
Calculated formation energy: 4.5 eV/f.u.
Offset from the most stable computed form: 0.097 eV per atom

Lattice parameters (Å, degrees): 5.482 5.482 5.482 127.24 127.24 77.85
Atoms (fractional coordinates):
Cd  0.000  0.000  0.000
Bi  0.250  0.750  0.500
Bi  0.750  0.250  0.500
B  0.401  0.401  0.000
B  0.599  0.599  0.000